No. 1
Computed, not measured: crystalline BeP2N at its relaxed geometry at the GGA-PBE level of DFT.

POSCAR file:
```
BeP2N
1.0
0.9802 1.0566 3.6748
-2.1780 2.6630 1.9353
-2.2482 -1.1250 3.0432
P Be N
2 1 1
direct
0.2500 0.2500 0.2500
0.7500 0.7500 0.7500
0.0000 0.0000 0.0000
0.5000 0.5000 0.5000
```

Electronic total energy = -17.5 eV/cell
Distance to the lowest polymorph of the same formula = 0.999 eV/atom
Energy relative to the elements, uncorrected = 1.35 eV per atom

=====

No. 2
Computed, not measured: crystalline AcAsPbSe at its relaxed geometry at the GGA-PBE level of DFT.

POSCAR file:
```
AcAsPbSe
1.0
-4.4265 2.7422 0.6739
-2.8091 -4.4040 -0.5310
0.4951 -1.3897 8.9070
Ac As Pb Se
2 2 2 2
direct
0.5000 0.0000 0.6718
0.0000 0.5000 0.3282
0.0000 0.5000 0.8367
0.5000 0.0000 0.1633
0.5000 0.5000 0.0000
0.0000 0.0000 0.0000
0.0000 0.0000 0.5000
0.5000 0.5000 0.5000
```

Electronic total energy = -38.9 eV/cell
Energy relative to the elements, uncorrected = -0.88 eV per atom

=====

No. 3
Computed, not measured: crystalline BaSnP2S at its relaxed geometry at the GGA-PBE level of DFT.

POSCAR file:
```
BaSnP2S
1.0
5.0967 0.0000 0.0000
0.0000 5.0967 0.0000
0.0000 0.0000 5.2630
P S Ba Sn
2 1 1 1
direct
0.0000 0.5000 0.0000
0.5000 0.0000 0.0000
0.0000 0.0000 0.5000
0.5000 0.5000 0.5000
0.0000 0.0000 0.0000
```

Electronic total energy = -21.7 eV/cell
Distance to the lowest polymorph of the same formula = 0.000 eV/atom
Energy relative to the elements, uncorrected = -0.16 eV per atom